[1]
Entry from Alexandria via LeMat-Bulk: BaCl after structural relaxation (PBE).

```
BaCl
1.0
9.076 0.000 0.000
0.000 9.076 0.000
0.000 0.000 4.682
Ba Cl
4 4
Cartesian
1.827 1.827 0.000
2.711 6.365 2.341
6.365 2.711 2.341
7.250 7.250 0.000
1.224 7.852 0.000
3.314 3.314 2.341
5.762 5.762 2.341
7.852 1.224 0.000
```

Values from the calculation:
* formation energy from raw total energies: -1.66 eV/atom
* space-group type: No. 136

=====

[2]
Entry from Alexandria via LeMat-Bulk: PmPr2N2 after structural relaxation (PBE).

```
PmPr2N2
1.0
-1.814 2.648 5.547
1.814 -2.648 5.547
1.814 2.648 -5.547
Pm Pr N
1 2 2
Cartesian
0.000 0.000 0.000
0.000 0.000 3.541
0.000 0.000 7.554
1.814 0.000 1.841
0.000 2.648 3.706
```

Values from the calculation:
* formation energy from raw total energies: -1.03 eV/atom
* energy relative to the lowest polymorph listed for this composition: 0.009 eV/atom
* space-group type: No. 71

=====

[3]
Entry from Alexandria via LeMat-Bulk: Nd4HgTe3 after structural relaxation (PBE).

```
Nd4HgTe3
1.0
4.580 -6.352 0.000
4.580 6.352 0.000
0.000 0.000 4.403
Nd Hg Te
4 1 3
Cartesian
2.232 0.000 2.201
4.580 3.223 0.000
4.580 -3.223 0.000
6.927 0.000 2.201
0.000 0.000 0.000
2.290 3.176 2.201
2.290 -3.176 2.201
4.580 0.000 0.000
```

Values from the calculation:
* formation energy from raw total energies: -1.20 eV/atom
* space-group type: No. 65